{"formula": "SrAcNdEu", "functional": "PBE-GGA", "state": "optimized geometry", "energy_ev_per_cell": -81.14, "delta_e_f_ev_per_atom": 0.14, "spacegroup": "No. 216", "mass_density_g_cm3": 5.87, "crystal_system": "cubic", "cell": [[8.839, 0.000, 0.000], [0.000, 8.839, 0.000], [0.000, 0.000, 8.839]], "species": ["Sr", "Sr", "Sr", "Sr", "Ac", "Ac", "Ac", "Ac", "Nd", "Nd", "Nd", "Nd", "Eu", "Eu", "Eu", "Eu"], "fractional_positions": [[0.000, 0.000, 0.000], [0.000, 0.500, 0.500], [0.500, 0.000, 0.500], [0.500, 0.500, 0.000], [0.250, 0.250, 0.250], [0.250, 0.750, 0.750], [0.750, 0.250, 0.750], [0.750, 0.750, 0.250], [0.000, 0.000, 0.500], [0.000, 0.500, 0.000], [0.500, 0.000, 0.000], [0.500, 0.500, 0.500], [0.250, 0.250, 0.750], [0.250, 0.750, 0.250], [0.750, 0.250, 0.250], [0.750, 0.750, 0.750]]}